# 1
{"formula": "Fe6IrPt5", "functional": "PBE", "state": "relaxed", "cell": [[-1.9335, 3.7422, 5.7876], [1.9335, -3.7422, 5.7876], [1.9335, 3.7422, -5.7876]], "species": ["Fe", "Fe", "Fe", "Fe", "Fe", "Fe", "Ir", "Pt", "Pt", "Pt", "Pt", "Pt"], "frac_coords": [[0.0831, 0.3347, 0.7485], [0.2469, 0.0000, 0.2469], [0.4138, 0.6653, 0.7485], [0.5862, 0.3347, 0.2515], [0.7531, 0.0000, 0.7531], [0.9169, 0.6653, 0.2515], [0.0000, 0.5000, 0.5000], [0.1668, 0.1668, 0.0000], [0.3338, 0.8338, 0.5000], [0.5000, 0.5000, 0.0000], [0.6662, 0.1662, 0.5000], [0.8332, 0.8332, 0.0000]], "sg": "Immm, No. 71", "density_g_cm3": 14.9, "total_magnetization_mub_per_fu": 19.8, "n_ef_per_ev_cell": 10.91, "formation_energy_mev_per_atom": -195.6}

***

# 2
{"formula": "Fe2IrPt", "functional": "PBE", "state": "relaxed", "cell": [[2.7301, -3.6940, 0.0000], [2.7301, 3.6940, 0.0000], [0.0000, 0.0000, 2.7071]], "species": ["Fe", "Fe", "Ir", "Pt"], "frac_coords": [[0.0000, 0.5000, 0.0000], [0.5000, 0.0000, 0.0000], [0.0000, 0.0000, 0.5000], [0.5000, 0.5000, 0.5000]], "sg": "Cmmm, No. 65", "relative_energy_mev_per_atom": 4, "density_g_cm3": 15.2, "total_magnetization_mub_per_fu": 6.0, "n_ef_per_ev_cell": 5.17, "formation_energy_mev_per_atom": -107.6}

***

# 3
{"formula": "FeIr2Pt", "functional": "PBE", "state": "relaxed", "cell": [[4.7210, 0.0000, 0.0000], [0.0000, 2.7410, 0.0000], [-1.5755, 0.0000, 4.4538]], "species": ["Fe", "Ir", "Ir", "Pt"], "frac_coords": [[0.0000, 0.0000, 0.0000], [0.0000, 0.5000, 0.5000], [0.5000, 0.0000, 0.5000], [0.5000, 0.5000, 0.0000]], "sg": "P2/m, No. 10", "density_g_cm3": 18.3, "total_magnetization_mub_per_fu": 3.8, "n_ef_per_ev_cell": 4.61, "formation_energy_mev_per_atom": -51.7}

***

# 4
{"formula": "Fe2IrPt", "functional": "PBE", "state": "relaxed", "cell": [[1.3526, 0.7809, 8.6763], [-1.3526, 0.7809, 8.6763], [0.0000, -1.5619, 8.6763]], "species": ["Fe", "Fe", "Ir", "Pt"], "frac_coords": [[0.2487, 0.2487, 0.2487], [0.7513, 0.7513, 0.7513], [0.5000, 0.5000, 0.5000], [0.0000, 0.0000, 0.0000]], "sg": "R-3m, No. 166", "relative_energy_mev_per_atom": 49, "density_g_cm3": 15.1, "total_magnetization_mub_per_fu": 5.5, "n_ef_per_ev_cell": 5.74, "formation_energy_mev_per_atom": -62.3}

***

# 5
{"formula": "Fe2IrPt", "functional": "PBE", "state": "relaxed", "cell": [[0.0000, 3.0403, 3.0403], [3.0403, 0.0000, 3.0403], [3.0403, 3.0403, 0.0000]], "species": ["Fe", "Fe", "Ir", "Pt"], "frac_coords": [[0.0000, 0.0000, 0.0000], [0.2500, 0.2500, 0.2500], [0.7500, 0.7500, 0.7500], [0.5000, 0.5000, 0.5000]], "sg": "F-43m, No. 216", "relative_energy_mev_per_atom": 237, "density_g_cm3": 14.7, "total_magnetization_mub_per_fu": 6.2, "n_ef_per_ev_cell": 6.20, "formation_energy_mev_per_atom": 125.7}

***

# 6
{"formula": "Fe2IrPt", "functional": "PBE", "state": "relaxed", "cell": [[2.6717, 0.0000, 0.0000], [0.0000, 4.3770, 0.0000], [-0.3157, 0.0000, 4.8389]], "species": ["Fe", "Fe", "Ir", "Pt"], "frac_coords": [[0.2224, 0.0000, 0.2388], [0.7776, 0.0000, 0.7612], [0.5000, 0.5000, 0.0000], [0.0000, 0.5000, 0.5000]], "sg": "P2/m, No. 10", "relative_energy_mev_per_atom": 160, "density_g_cm3": 14.6, "total_magnetization_mub_per_fu": 6.9, "n_ef_per_ev_cell": 4.07, "formation_energy_mev_per_atom": 48.6}

***

# 7
{"formula": "FeIrPt2", "functional": "PBE", "state": "relaxed", "cell": [[0.0000, 3.1022, 3.1022], [3.1022, 0.0000, 3.1022], [3.1022, 3.1022, 0.0000]], "species": ["Fe", "Ir", "Pt", "Pt"], "frac_coords": [[0.0000, 0.0000, 0.0000], [0.2500, 0.2500, 0.2500], [0.5000, 0.5000, 0.5000], [0.7500, 0.7500, 0.7500]], "sg": "F-43m, No. 216", "relative_energy_mev_per_atom": 246, "density_g_cm3": 17.7, "total_magnetization_mub_per_fu": 3.8, "n_ef_per_ev_cell": 4.18, "formation_energy_mev_per_atom": 130.2}

***

# 8
{"formula": "FeIrPt3", "functional": "PBE", "state": "relaxed", "cell": [[4.4993, 0.0000, 0.0000], [0.0000, 4.4993, 0.0000], [0.0000, 0.0000, 4.4993]], "species": ["Fe", "Ir", "Pt", "Pt", "Pt"], "frac_coords": [[0.0000, 0.0000, 0.0000], [0.5000, 0.5000, 0.5000], [0.0000, 0.0000, 0.5000], [0.0000, 0.5000, 0.0000], [0.5000, 0.0000, 0.0000]], "sg": "Pm-3m, No. 221", "relative_energy_mev_per_atom": 0, "density_g_cm3": 15.2, "total_magnetization_mub_per_fu": 3.5, "n_ef_per_ev_cell": 6.07, "formation_energy_mev_per_atom": 1316.4}

***

# 9
{"formula": "FeIr2Pt", "functional": "PBE", "state": "relaxed", "cell": [[1.3695, -2.3419, 0.0000], [1.3695, 2.3419, 0.0000], [0.0000, 0.0000, 9.1418]], "species": ["Fe", "Ir", "Ir", "Pt"], "frac_coords": [[0.0000, 0.0000, 0.0000], [0.5000, 0.5000, 0.2327], [0.5000, 0.5000, 0.7673], [0.0000, 0.0000, 0.5000]], "sg": "Cmmm, No. 65", "density_g_cm3": 18.0, "total_magnetization_mub_per_fu": 3.5, "n_ef_per_ev_cell": 5.58, "formation_energy_mev_per_atom": 146.7}

***

# 10
{"formula": "Fe4IrPt", "functional": "PBE", "state": "relaxed", "cell": [[0.0000, 3.3655, 3.3655], [3.3655, 0.0000, 3.3655], [3.3655, 3.3655, 0.0000]], "species": ["Fe", "Fe", "Fe", "Fe", "Ir", "Pt"], "frac_coords": [[0.1246, 0.1246, 0.1246], [0.1246, 0.1246, 0.6263], [0.1246, 0.6263, 0.1246], [0.6263, 0.1246, 0.1246], [0.7500, 0.7500, 0.7500], [0.5000, 0.5000, 0.5000]], "sg": "F-43m, No. 216", "density_g_cm3": 13.3, "total_magnetization_mub_per_fu": 10.5, "n_ef_per_ev_cell": 8.05, "formation_energy_mev_per_atom": -15.4}

***

# 11
{"formula": "Fe2IrPt", "functional": "PBE", "state": "relaxed", "cell": [[3.8488, 0.0000, 0.0000], [0.0000, 3.8488, 0.0000], [0.0000, 0.0000, 3.6812]], "species": ["Fe", "Fe", "Ir", "Pt"], "frac_coords": [[0.0000, 0.5000, 0.0000], [0.5000, 0.0000, 0.0000], [0.0000, 0.0000, 0.5000], [0.5000, 0.5000, 0.5000]], "sg": "P4/mmm, No. 123", "relative_energy_mev_per_atom": 21, "density_g_cm3": 15.2, "total_magnetization_mub_per_fu": 6.0, "n_ef_per_ev_cell": 5.65, "formation_energy_mev_per_atom": -90.6}

***

# 12
{"formula": "FeIrPt4", "functional": "PBE", "state": "relaxed", "cell": [[0.0000, 3.6697, 3.6697], [3.6697, 0.0000, 3.6697], [3.6697, 3.6697, 0.0000]], "species": ["Fe", "Ir", "Pt", "Pt", "Pt", "Pt"], "frac_coords": [[0.0000, 0.0000, 0.0000], [0.7500, 0.7500, 0.7500], [0.3752, 0.3752, 0.3752], [0.3752, 0.3752, 0.8743], [0.3752, 0.8743, 0.3752], [0.8743, 0.3752, 0.3752]], "sg": "F-43m, No. 216", "relative_energy_mev_per_atom": 477, "density_g_cm3": 17.3, "total_magnetization_mub_per_fu": 4.9, "n_ef_per_ev_cell": 3.93, "formation_energy_mev_per_atom": 396.9}

***

# 13
{"formula": "Fe2IrPt9", "functional": "PBE", "state": "relaxed", "cell": [[3.9276, 0.0000, 0.0000], [0.0000, 3.9276, 0.0000], [0.0000, 0.0000, 11.7721]], "species": ["Fe", "Fe", "Ir", "Pt", "Pt", "Pt", "Pt", "Pt", "Pt", "Pt", "Pt", "Pt"], "frac_coords": [[0.0000, 0.0000, 0.1678], [0.0000, 0.0000, 0.8322], [0.0000, 0.0000, 0.5000], [0.0000, 0.5000, 0.0000], [0.0000, 0.5000, 0.3292], [0.0000, 0.5000, 0.6708], [0.5000, 0.0000, 0.0000], [0.5000, 0.0000, 0.3292], [0.5000, 0.0000, 0.6708], [0.5000, 0.5000, 0.1640], [0.5000, 0.5000, 0.5000], [0.5000, 0.5000, 0.8360]], "sg": "P4/mmm, No. 123", "density_g_cm3": 18.8, "total_magnetization_mub_per_fu": 8.5, "n_ef_per_ev_cell": 13.68, "formation_energy_mev_per_atom": -116.0}

***

# 14
{"formula": "Fe2IrPt6", "functional": "PBE", "state": "relaxed", "cell": [[0.0000, 5.8412, 5.8703], [1.9556, 0.0000, 5.8703], [1.9556, 5.8412, 0.0000]], "species": ["Fe", "Fe", "Ir", "Pt", "Pt", "Pt", "Pt", "Pt", "Pt"], "frac_coords": [[0.1628, 0.1628, 0.8372], [0.8372, 0.8372, 0.1628], [0.5000, 0.5000, 0.5000], [0.1619, 0.8381, 0.1619], [0.1729, 0.4887, 0.5113], [0.4887, 0.1729, 0.8271], [0.5113, 0.8271, 0.1729], [0.8271, 0.5113, 0.4887], [0.8381, 0.1619, 0.8381]], "sg": "Fmmm, No. 69", "density_g_cm3": 18.3, "total_magnetization_mub_per_fu": 8.3, "n_ef_per_ev_cell": 8.47, "formation_energy_mev_per_atom": -159.8}

***

# 15
{"formula": "Fe6IrPt", "functional": "PBE", "state": "relaxed", "cell": [[5.9023, 0.0000, 0.0000], [0.0000, 5.9023, 0.0000], [0.0000, 0.0000, 2.9850]], "species": ["Fe", "Fe", "Fe", "Fe", "Fe", "Fe", "Ir", "Pt"], "frac_coords": [[0.0000, 0.5000, 0.0000], [0.2480, 0.2480, 0.5000], [0.2480, 0.7520, 0.5000], [0.5000, 0.0000, 0.0000], [0.7520, 0.2480, 0.5000], [0.7520, 0.7520, 0.5000], [0.0000, 0.0000, 0.0000], [0.5000, 0.5000, 0.0000]], "sg": "P4/mmm, No. 123", "density_g_cm3": 11.5, "total_magnetization_mub_per_fu": 18.0, "n_ef_per_ev_cell": 5.29, "formation_energy_mev_per_atom": -48.0}

***

# 16
{"formula": "FeIr2Pt", "functional": "PBE", "state": "relaxed", "cell": [[0.0000, 3.0572, 3.0572], [3.0572, 0.0000, 3.0572], [3.0572, 3.0572, 0.0000]], "species": ["Fe", "Ir", "Ir", "Pt"], "frac_coords": [[0.0000, 0.0000, 0.0000], [0.2500, 0.2500, 0.2500], [0.7500, 0.7500, 0.7500], [0.5000, 0.5000, 0.5000]], "sg": "Fm-3m, No. 225", "density_g_cm3": 18.5, "total_magnetization_mub_per_fu": 0.0, "n_ef_per_ev_cell": 14.00, "formation_energy_mev_per_atom": 503.3}

***

# 17
{"formula": "Fe2Ir2Pt", "functional": "PBE", "state": "relaxed", "cell": [[7.1645, 0.0000, 0.0000], [0.0000, 7.1645, 0.0000], [0.0000, 0.0000, 2.7253]], "species": ["Fe", "Fe", "Fe", "Fe", "Ir", "Ir", "Ir", "Ir", "Pt", "Pt"], "frac_coords": [[0.1231, 0.3769, 0.0000], [0.3769, 0.8769, 0.0000], [0.6231, 0.1231, 0.0000], [0.8769, 0.6231, 0.0000], [0.1704, 0.6704, 0.5000], [0.3296, 0.1704, 0.5000], [0.6704, 0.8296, 0.5000], [0.8296, 0.3296, 0.5000], [0.0000, 0.0000, 0.0000], [0.5000, 0.5000, 0.0000]], "sg": "P4/mbm, No. 127", "relative_energy_mev_per_atom": 146, "density_g_cm3": 16.4, "total_magnetization_mub_per_fu": 5.3, "n_ef_per_ev_cell": 14.87, "formation_energy_mev_per_atom": 144.8}

***

# 18
{"formula": "FeIrPt2", "functional": "PBE", "state": "relaxed", "cell": [[4.5555, -1.3780, 0.0000], [4.5555, 1.3780, 0.0000], [-0.8523, 0.0000, 4.6777]], "species": ["Fe", "Ir", "Pt", "Pt"], "frac_coords": [[0.0000, 0.0000, 0.0000], [0.5000, 0.5000, 0.5000], [0.2511, 0.2511, 0.7509], [0.7489, 0.7489, 0.2491]], "sg": "C2/m, No. 12", "relative_energy_mev_per_atom": 97, "density_g_cm3": 18.0, "total_magnetization_mub_per_fu": 3.7, "n_ef_per_ev_cell": 5.83, "formation_energy_mev_per_atom": -17.9}

***

# 19
{"formula": "Fe2IrPt", "functional": "PBE", "state": "relaxed", "cell": [[-1.4284, 2.1905, 4.4093], [1.4284, -2.1905, 4.4093], [1.4284, 2.1905, -4.4093]], "species": ["Fe", "Fe", "Ir", "Pt"], "frac_coords": [[0.0000, 0.0000, 0.0000], [0.7750, 0.2750, 0.5000], [0.2462, 0.7462, 0.5000], [0.5233, 0.5233, 0.0000]], "sg": "Imm2, No. 44", "relative_energy_mev_per_atom": 106, "density_g_cm3": 15.0, "total_magnetization_mub_per_fu": 6.8, "n_ef_per_ev_cell": 4.40, "formation_energy_mev_per_atom": -5.8}

***

# 20
{"formula": "Fe11Ir9Pt4", "functional": "PBE", "state": "relaxed", "cell": [[7.5991, -8.0475, 0.0000], [7.5991, 8.0475, 0.0000], [0.0000, 0.0000, 2.6855]], "species": ["Fe", "Fe", "Fe", "Fe", "Fe", "Fe", "Fe", "Fe", "Fe", "Fe", "Fe", "Ir", "Ir", "Ir", "Ir", "Ir", "Ir", "Ir", "Ir", "Ir", "Pt", "Pt", "Pt", "Pt"], "frac_coords": [[0.0000, 0.0000, 0.0000], [0.0683, 0.4141, 0.0000], [0.1733, 0.8267, 0.0000], [0.2329, 0.2329, 0.0000], [0.3475, 0.6525, 0.0000], [0.4141, 0.0683, 0.0000], [0.5859, 0.9317, 0.0000], [0.6525, 0.3475, 0.0000], [0.7671, 0.7671, 0.0000], [0.8267, 0.1733, 0.0000], [0.9317, 0.5859, 0.0000], [0.0297, 0.2016, 0.5000], [0.1330, 0.6278, 0.5000], [0.2016, 0.0297, 0.5000], [0.3722, 0.8670, 0.5000], [0.5000, 0.5000, 0.5000], [0.6278, 0.1330, 0.5000], [0.7984, 0.9703, 0.5000], [0.8670, 0.3722, 0.5000], [0.9703, 0.7984, 0.5000], [0.2693, 0.4379, 0.5000], [0.4379, 0.2693, 0.5000], [0.5621, 0.7307, 0.5000], [0.7307, 0.5621, 0.5000]], "sg": "Cmmm, No. 65", "density_g_cm3": 15.8, "total_magnetization_mub_per_fu": 29.1, "n_ef_per_ev_cell": 28.34, "formation_energy_mev_per_atom": -8.1}

***

# 21
{"formula": "Fe5IrPt6", "functional": "PBE", "state": "relaxed", "cell": [[-1.9305, 3.8340, 5.7854], [1.9305, -3.8340, 5.7854], [1.9305, 3.8340, -5.7854]], "species": ["Fe", "Fe", "Fe", "Fe", "Fe", "Ir", "Pt", "Pt", "Pt", "Pt", "Pt", "Pt"], "frac_coords": [[0.0000, 0.0000, 0.0000], [0.1665, 0.6665, 0.5000], [0.3339, 0.3339, 0.0000], [0.6661, 0.6661, 0.0000], [0.8335, 0.3335, 0.5000], [0.5000, 0.0000, 0.5000], [0.0793, 0.8327, 0.2466], [0.2434, 0.5000, 0.7434], [0.4139, 0.1673, 0.2466], [0.5861, 0.8327, 0.7534], [0.7566, 0.5000, 0.2566], [0.9207, 0.1673, 0.7534]], "sg": "Immm, No. 71", "density_g_cm3": 15.9, "total_magnetization_mub_per_fu": 17.6, "n_ef_per_ev_cell": 8.84, "formation_energy_mev_per_atom": -197.5}

***

# 22
{"formula": "FeIr2Pt", "functional": "PBE", "state": "relaxed", "cell": [[-1.9358, 1.9358, 3.8018], [1.9358, -1.9358, 3.8018], [1.9358, 1.9358, -3.8018]], "species": ["Fe", "Ir", "Ir", "Pt"], "frac_coords": [[0.0000, 0.0000, 0.0000], [0.2500, 0.7500, 0.5000], [0.7500, 0.2500, 0.5000], [0.5000, 0.5000, 0.0000]], "sg": "I4/mmm, No. 139", "density_g_cm3": 18.5, "total_magnetization_mub_per_fu": 2.8, "n_ef_per_ev_cell": 3.68, "formation_energy_mev_per_atom": -39.9}

***

# 23
{"formula": "FeIr2Pt", "functional": "PBE", "state": "relaxed", "cell": [[1.3681, 0.7899, 8.8119], [-1.3681, 0.7899, 8.8119], [0.0000, -1.5798, 8.8119]], "species": ["Fe", "Ir", "Ir", "Pt"], "frac_coords": [[0.0000, 0.0000, 0.0000], [0.4962, 0.4962, 0.4962], [0.7456, 0.7456, 0.7456], [0.2523, 0.2523, 0.2523]], "sg": "R3m, No. 160", "density_g_cm3": 18.5, "total_magnetization_mub_per_fu": 2.5, "n_ef_per_ev_cell": 4.98, "formation_energy_mev_per_atom": -24.0}

***

# 24
{"formula": "FeIrPt2", "functional": "PBE", "state": "relaxed", "cell": [[2.7444, 0.0000, 0.0000], [0.0000, 2.7444, 0.0000], [0.0000, 0.0000, 7.7469]], "species": ["Fe", "Ir", "Pt", "Pt"], "frac_coords": [[0.0000, 0.0000, 0.0000], [0.0000, 0.0000, 0.5000], [0.5000, 0.5000, 0.2396], [0.5000, 0.5000, 0.7604]], "sg": "P4/mmm, No. 123", "relative_energy_mev_per_atom": 59, "density_g_cm3": 18.2, "total_magnetization_mub_per_fu": 3.3, "n_ef_per_ev_cell": 5.24, "formation_energy_mev_per_atom": -56.0}

***

# 25
{"formula": "Fe2IrPt", "functional": "PBE", "state": "relaxed", "cell": [[0.0000, 3.0376, 3.0376], [3.0376, 0.0000, 3.0376], [3.0376, 3.0376, 0.0000]], "species": ["Fe", "Fe", "Ir", "Pt"], "frac_coords": [[0.2500, 0.2500, 0.2500], [0.7500, 0.7500, 0.7500], [0.0000, 0.0000, 0.0000], [0.5000, 0.5000, 0.5000]], "sg": "Fm-3m, No. 225", "relative_energy_mev_per_atom": 122, "density_g_cm3": 14.8, "total_magnetization_mub_per_fu": 7.6, "n_ef_per_ev_cell": 6.99, "formation_energy_mev_per_atom": 10.0}

***

# 26
{"formula": "FeIrPt3", "functional": "PBE", "state": "relaxed", "cell": [[4.8114, 0.0000, 0.0000], [0.0000, 4.8114, 0.0000], [0.0000, 0.0000, 4.8114]], "species": ["Fe", "Ir", "Pt", "Pt", "Pt"], "frac_coords": [[0.0000, 0.0000, 0.0000], [0.5000, 0.5000, 0.5000], [0.0000, 0.5000, 0.5000], [0.5000, 0.0000, 0.5000], [0.5000, 0.5000, 0.0000]], "sg": "Pm-3m, No. 221", "relative_energy_mev_per_atom": 579, "density_g_cm3": 12.4, "total_magnetization_mub_per_fu": 0.1, "n_ef_per_ev_cell": 13.26, "formation_energy_mev_per_atom": 1895.7}

***

# 27
{"formula": "Fe2IrPt", "functional": "PBE", "state": "relaxed", "cell": [[2.7111, 0.0000, 0.0000], [0.0000, 3.7042, 0.0000], [0.0000, 0.0000, 5.4574]], "species": ["Fe", "Fe", "Ir", "Pt"], "frac_coords": [[0.0000, 0.0000, 0.0000], [0.5000, 0.5000, 0.2533], [0.0000, 0.0000, 0.4687], [0.5000, 0.5000, 0.7591]], "sg": "Pmm2, No. 25", "relative_energy_mev_per_atom": 70, "density_g_cm3": 15.1, "total_magnetization_mub_per_fu": 5.8, "n_ef_per_ev_cell": 5.58, "formation_energy_mev_per_atom": -41.2}